No. 1
Below is an optimized crystal structure of TbNd2TmBi4, with properties calculated at the PBE-GGA level.

Lattice parameters (Å, degrees): 7.8513 4.5421 7.8619 90.00 109.50 90.00
Space group P2/m (No. 10)
Unique sites:
1 Tb 0.0000 0.0000 0.0000
2 Nd 0.5000 0.0000 0.5000
3 Nd 0.5000 0.5000 0.0000
4 Tm 0.0000 0.5000 0.5000
5 Bi 0.2394 0.0000 0.7445
6 Bi 0.2408 0.5000 0.2489

Values from the calculation:
volume = 264.3 Å³ per cell
total magnetic moment = 0.0 μB per cell
final energy = -5.16 eV per atom


No. 2
Below is an optimized crystal structure of Tb2NdTm3Bi6, with properties calculated at the PBE-GGA level.

Lattice parameters (Å, degrees): 19.5308 4.4837 8.9643 90.00 103.16 90.00
Space group C2/m (No. 12)
Unique sites:
1 Tb 0.1672 0.0000 0.3334
2 Nd 0.0000 0.5000 0.0000
3 Tm 0.0000 0.5000 0.5000
4 Tm 0.1656 0.0000 0.8322
5 Bi 0.9996 0.0000 0.2581
6 Bi 0.1656 0.5000 0.5853
7 Bi 0.1699 0.5000 0.0817

Values from the calculation:
volume = 764.4 Å³ per cell
total magnetic moment = 0.0 μB per cell
final energy = -5.07 eV per atom


no.,formation energy (eV per atom)
1,-0.89
2,-0.84